(1)
VASP calculation (PBE) on an optimized crystal structure of BAsO2F.

Cell: 3.833 3.833 4.110 Å, 90.00 90.00 90.00°
Sites, in units of the cell vectors:
B 0.000 0.000 0.000
As 0.500 0.500 0.500
O 0.000 0.500 0.500
O 0.500 0.000 0.500
F 0.500 0.500 0.000

ΔE_f (raw) = 0.022 eV per atom

---

(2)
VASP calculation (PBE) on an optimized crystal structure of Mg5Ga4Cu.

Cell: 3.406 3.406 16.027 Å, 90.00 90.00 90.00°
Sites, in units of the cell vectors:
Mg 0.000 0.000 0.000
Mg 0.000 0.000 0.207
Mg 0.000 0.000 0.411
Mg 0.000 0.000 0.589
Mg 0.000 0.000 0.793
Ga 0.500 0.500 0.102
Ga 0.500 0.500 0.312
Ga 0.500 0.500 0.688
Ga 0.500 0.500 0.898
Cu 0.500 0.500 0.500

ΔE_f = -120 meV per atom

---

(3)
VASP calculation (PBE) on an optimized crystal structure of Ti3TePd.

Cell: 4.808 4.808 4.808 Å, 90.00 90.00 90.00°
Sites, in units of the cell vectors:
Ti 0.000 0.000 0.500
Ti 0.000 0.500 0.000
Ti 0.500 0.000 0.000
Te 0.500 0.500 0.500
Pd 0.000 0.000 0.000

ΔE_f (raw) = 0.287 eV per atom
energy relative to the lowest polymorph listed for this composition = 0 meV per atom

---

| no. | Fermi-level density of states (states/eV per atom) |
| --- | --- |
| 1 | 0.1460 |
| 2 | 0.3688 |
| 3 | 1.1641 |